(1)
# Ga3CoO | Alexandria | PBE with a Hubbard U | optimized geometry
# Energy above the lowest structure with this stoichiometry   183 meV/atom
data_Ga3CoO
_chemical_formula_sum 'Ga3 Co1 O1'
_space_group_name_H-M_alt 'P m -3 m'
_space_group_IT_number 221
_space_group_name_Hall '-P 4 2 3'
_cell_length_a 4.433
_cell_length_b 4.433
_cell_length_c 4.433
_cell_angle_alpha 90.00
_cell_angle_beta 90.00
_cell_angle_gamma 90.00
loop_
_atom_site_label
_atom_site_type_symbol
_atom_site_fract_x
_atom_site_fract_y
_atom_site_fract_z
_atom_site_occupancy
Ga1 Ga 0.000 0.000 0.500 1
Co1 Co 0.000 0.000 0.000 1
O1 O 0.500 0.500 0.500 1

---

(2)
# Ga2CoO | Alexandria | PBE with a Hubbard U | optimized geometry
# VASP energy   -4.315 eV/atom
data_Ga2CoO
_chemical_formula_sum 'Ga8 Co4 O4'
_space_group_name_H-M_alt 'I -4 2 d'
_space_group_IT_number 122
_space_group_name_Hall 'I -4 2bw'
_cell_length_a 5.808
_cell_length_b 5.808
_cell_length_c 6.572
_cell_angle_alpha 90.00
_cell_angle_beta 90.00
_cell_angle_gamma 90.00
loop_
_atom_site_label
_atom_site_type_symbol
_atom_site_fract_x
_atom_site_fract_y
_atom_site_fract_z
_atom_site_occupancy
Ga1 Ga 0.205 0.750 0.125 1
Co1 Co 0.000 0.000 0.500 1
O1 O 0.000 0.000 0.000 1

---

Short version: Fermi-level density of states = 2.56, 0.81 states/eV per cell, in the order given.